{"formula": "Ba6Mg3Hg", "functional": "PBE", "state": "relaxed", "lattice_angstrom": [[-1.8184, 5.6024, 1.9057], [-4.4714, -4.3631, 8.5602], [13.9209, 3.7731, 2.1910]], "species": ["Hg", "Hg", "Mg", "Mg", "Mg", "Mg", "Mg", "Mg", "Ba", "Ba", "Ba", "Ba", "Ba", "Ba", "Ba", "Ba", "Ba", "Ba", "Ba", "Ba"], "fractional_positions": [[0.2500, 0.9656, 0.5928], [0.7500, 0.0344, 0.4072], [0.2500, 0.4361, 0.7764], [0.7500, 0.2477, 0.0425], [0.7500, 0.5639, 0.2236], [0.2500, 0.5129, 0.3529], [0.7500, 0.4871, 0.6471], [0.2500, 0.7523, 0.9575], [0.2500, 0.8445, 0.3300], [0.2500, 0.1355, 0.1421], [0.2500, 0.1258, 0.8520], [0.7500, 0.7528, 0.4954], [0.7500, 0.3206, 0.3429], [0.7500, 0.5046, 0.9151], [0.2500, 0.2472, 0.5046], [0.7500, 0.8645, 0.8579], [0.7500, 0.1555, 0.6700], [0.2500, 0.6794, 0.6571], [0.2500, 0.4954, 0.0849], [0.7500, 0.8742, 0.1480]], "crystal_system": "monoclinic", "spacegroup": "P2_1/m, No. 11", "ef_ev_per_atom": -0.112, "magmom_total_mub_per_cell": 0.00, "energy_ev_per_atom": -1.7743}